[1]
{
  "formula": "LiMgCu2P2",
  "functional": "PBE",
  "state": "optimized geometry",
  "lattice": [[3.759, 0.000, 0.000], [0.000, 3.759, 0.000], [0.000, 0.000, 6.142]],
  "species": ["Li", "Mg", "Cu", "Cu", "P", "P"],
  "frac_coords": [[0.000, 0.000, 0.000], [0.500, 0.500, 0.322], [0.000, 0.500, 0.674], [0.500, 0.000, 0.674], [0.000, 0.000, 0.422], [0.500, 0.500, 0.907]],
  "dft_energy_ev_per_cell": -24.30
}

[2]
{
  "formula": "Li4MgCuPd2",
  "functional": "PBE",
  "state": "optimized geometry",
  "lattice": [[4.285, 0.000, 0.000], [0.000, 4.285, 0.000], [0.000, 0.000, 6.183]],
  "species": ["Li", "Li", "Li", "Li", "Mg", "Cu", "Pd", "Pd"],
  "frac_coords": [[0.000, 0.000, 0.000], [0.000, 0.500, 0.225], [0.500, 0.000, 0.775], [0.500, 0.500, 0.500], [0.000, 0.000, 0.500], [0.500, 0.500, 0.000], [0.000, 0.500, 0.757], [0.500, 0.000, 0.243]],
  "dft_energy_ev_per_cell": -25.96
}